! CaSm4Ho2 | the Alexandria database | PBE | relaxed; values from VASP
! M_tot in μB/cell: 0.0
! Formation energy in eV per atom: 0.033
! Crystal system: trigonal
! DOS(E_F) in states/eV per cell: 9.39
! Electronic total energy in eV per formula unit: -29.8
&SYSTEM
  ibrav = 0, nat = 7, ntyp = 3
/
ATOMIC_SPECIES
Sm 150.36 Sm.upf
Ho 164.93 Ho.upf
Ca 40.08 Ca.upf
CELL_PARAMETERS angstrom
3.598 0.000 0.312
1.785 3.124 0.312
-0.008 -0.005 21.031
ATOMIC_POSITIONS crystal
Sm 0.282 0.282 0.155
Sm 0.143 0.143 0.571
Sm 0.857 0.857 0.429
Sm 0.718 0.718 0.845
Ho 0.430 0.430 0.710
Ho 0.570 0.570 0.290
Ca 0.000 0.000 0.000

---

! CaSm6Ho8 | the Alexandria database | PBE | relaxed; values from VASP
! M_tot in μB/cell: 0.0
! Formation energy in eV per atom: 0.192
! Crystal system: trigonal
! DOS(E_F) in states/eV per cell: 20.74
! Electronic total energy in eV per formula unit: -64.1
&SYSTEM
  ibrav = 0, nat = 15, ntyp = 3
/
ATOMIC_SPECIES
Ho 164.93 Ho.upf
Sm 150.36 Sm.upf
Ca 40.08 Ca.upf
CELL_PARAMETERS angstrom
7.684 -0.302 2.879
1.893 7.454 2.879
-0.404 -0.302 8.196
ATOMIC_POSITIONS crystal
Ho 0.763 0.763 0.763
Ho 0.134 0.624 0.949
Ho 0.376 0.051 0.866
Ho 0.949 0.134 0.624
Ho 0.051 0.866 0.376
Ho 0.624 0.949 0.134
Ho 0.237 0.237 0.237
Ho 0.866 0.376 0.051
Sm 0.828 0.565 0.382
Sm 0.618 0.172 0.435
Sm 0.435 0.618 0.172
Sm 0.565 0.382 0.828
Sm 0.382 0.828 0.565
Sm 0.172 0.435 0.618
Ca 0.000 0.000 0.000

---

! Ca2Sm4Ho5 | the Alexandria database | PBE | relaxed; values from VASP
! M_tot in μB/cell: 0.0
! Formation energy in eV per atom: 0.204
! Crystal system: monoclinic
! DOS(E_F) in states/eV per cell: 13.45
! Electronic total energy in eV per formula unit: -43.5
&SYSTEM
  ibrav = 0, nat = 11, ntyp = 3
/
ATOMIC_SPECIES
Sm 150.36 Sm.upf
Ho 164.93 Ho.upf
Ca 40.08 Ca.upf
CELL_PARAMETERS angstrom
-6.301 2.174 6.818
0.756 0.739 -9.476
-0.111 -6.929 1.348
ATOMIC_POSITIONS crystal
Sm 0.222 0.704 0.926
Sm 0.778 0.296 0.074
Sm 0.629 0.746 0.376
Sm 0.371 0.254 0.624
Ho 0.102 0.270 0.891
Ho 0.500 0.000 0.500
Ho 0.621 0.789 0.891
Ho 0.898 0.730 0.109
Ho 0.379 0.211 0.109
Ca 0.087 0.323 0.410
Ca 0.913 0.677 0.590

---

! CaSm8Ho6 | the Alexandria database | PBE | relaxed; values from VASP
! M_tot in μB/cell: 0.0
! Formation energy in eV per atom: 0.182
! Crystal system: trigonal
! DOS(E_F) in states/eV per cell: 20.29
! Electronic total energy in eV per formula unit: -64.5
&SYSTEM
  ibrav = 0, nat = 15, ntyp = 3
/
ATOMIC_SPECIES
Sm 150.36 Sm.upf
Ho 164.93 Ho.upf
Ca 40.08 Ca.upf
CELL_PARAMETERS angstrom
-4.612 6.061 -3.110
-5.073 -3.316 -5.562
-7.464 -0.527 3.419
ATOMIC_POSITIONS crystal
Sm 0.051 0.863 0.379
Sm 0.621 0.949 0.137
Sm 0.863 0.379 0.051
Sm 0.949 0.137 0.621
Sm 0.240 0.240 0.240
Sm 0.137 0.621 0.949
Sm 0.379 0.051 0.863
Sm 0.760 0.760 0.760
Ho 0.617 0.176 0.437
Ho 0.383 0.824 0.563
Ho 0.824 0.563 0.383
Ho 0.176 0.437 0.617
Ho 0.563 0.383 0.824
Ho 0.437 0.617 0.176
Ca 0.000 0.000 0.000

---

! CaSm12Ho2 | the Alexandria database | PBE | relaxed; values from VASP
! M_tot in μB/cell: 0.0
! Formation energy in eV per atom: 0.158
! Crystal system: orthorhombic
! DOS(E_F) in states/eV per cell: 43.67
! Electronic total energy in eV per formula unit: -65.4
&SYSTEM
  ibrav = 0, nat = 30, ntyp = 3
/
ATOMIC_SPECIES
Sm 150.36 Sm.upf
Ho 164.93 Ho.upf
Ca 40.08 Ca.upf
CELL_PARAMETERS angstrom
6.595 -1.552 0.000
-1.552 6.595 0.000
0.000 0.000 25.257
ATOMIC_POSITIONS crystal
Sm 0.500 0.500 0.796
Sm 0.751 0.251 0.139
Sm 0.750 0.750 0.917
Sm 0.749 0.249 0.861
Sm 0.500 0.500 0.204
Sm 0.273 0.227 0.559
Sm 0.000 0.000 0.328
Sm 0.000 0.000 0.796
Sm 0.750 0.750 0.083
Sm 0.250 0.250 0.083
Sm 0.500 0.500 0.328
Sm 0.249 0.749 0.139
Sm 0.000 0.000 0.204
Sm 0.732 0.232 0.416
Sm 0.773 0.727 0.441
Sm 0.251 0.751 0.861
Sm 0.268 0.768 0.416
Sm 0.000 0.000 0.672
Sm 0.227 0.273 0.441
Sm 0.727 0.773 0.559
Sm 0.768 0.268 0.584
Sm 0.500 0.500 0.672
Sm 0.250 0.250 0.917
Sm 0.232 0.732 0.584
Ho 0.000 0.500 0.730
Ho 0.000 0.500 0.274
Ho 0.500 0.000 0.270
Ho 0.500 0.000 0.726
Ca 0.500 0.000 0.000
Ca 0.000 0.500 0.000

---

! CaSm7Ho3 | the Alexandria database | PBE | relaxed; values from VASP
! M_tot in μB/cell: 0.0
! Formation energy in eV per atom: 0.221
! Crystal system: trigonal
! DOS(E_F) in states/eV per cell: 15.85
! Electronic total energy in eV per formula unit: -46.3
&SYSTEM
  ibrav = 0, nat = 11, ntyp = 3
/
ATOMIC_SPECIES
Ho 164.93 Ho.upf
Sm 150.36 Sm.upf
Ca 40.08 Ca.upf
CELL_PARAMETERS angstrom
8.700 0.000 0.000
0.000 7.179 0.000
0.000 -3.590 6.218
ATOMIC_POSITIONS crystal
Ho 0.788 0.503 0.497
Ho 0.788 0.503 0.005
Ho 0.788 0.995 0.497
Sm 0.124 0.667 0.333
Sm 0.108 0.165 0.835
Sm 0.453 0.338 0.169
Sm 0.453 0.831 0.169
Sm 0.108 0.165 0.329
Sm 0.108 0.671 0.835
Sm 0.453 0.831 0.662
Ca 0.446 0.333 0.667